A relaxed Ta3TcPt crystal. Source: Alexandria, functional PBE.

a b c (Å): 4.736 4.736 4.736
angles (deg): 90.00 90.00 90.00
Element x y z (fractional)
Tc1 0.000 0.000 0.000
Pt1 0.500 0.500 0.500
Ta1 0.000 0.500 0.000
Ta2 0.000 0.000 0.500
Ta3 0.500 0.000 0.000

Results
Formation enthalpy at 0 K: 1125 meV/atom
Relative energy among the computed polymorphs: 0.000 eV/f.u.